No. 1
DFT (PBE) results for a geometry-optimized Dy3Sb2S structure.

Values from the calculation:
The distance to the lowest polymorph of the same formula comes out at 0 meV per atom. Its density of states at the Fermi level is 5.412 states/eV per cell. The value obtained for the total magnetic moment is 0.00 μB/f.u.

a = 7.345 Å, b = 7.345 Å, c = 13.365 Å
α = 100.54°, β = 100.54°, γ = 109.52°
Atoms (fractional coordinates):
Dy1 0.588 0.601 0.673
Dy2 0.399 0.412 0.327
Dy3 0.481 0.981 0.500
Dy4 0.085 0.072 0.673
Dy5 0.322 0.835 0.173
Dy6 0.165 0.678 0.827
Dy7 0.851 0.338 0.173
Dy8 0.662 0.149 0.827
Dy9 0.231 0.231 0.000
Dy10 0.769 0.769 0.000
Dy11 0.928 0.915 0.327
Dy12 0.019 0.519 0.500
Sb1 0.669 0.169 0.338
Sb2 0.581 0.581 0.162
Sb3 0.831 0.331 0.662
Sb4 0.998 0.498 0.996
Sb5 0.419 0.419 0.838
Sb6 0.502 0.002 0.004
Sb7 0.748 0.748 0.496
Sb8 0.252 0.252 0.504
S1 0.167 0.667 0.333
S2 0.917 0.917 0.833
S3 0.333 0.833 0.667
S4 0.083 0.083 0.167

No. 2
DFT (PBE) results for a geometry-optimized Dy5SbS5 structure.

Values from the calculation:
Its density of states at the Fermi level is 3.246 states/eV per cell. The value obtained for the total magnetic moment is 0.00 μB/f.u.

a = 5.691 Å, b = 6.904 Å, c = 8.039 Å
α = 106.76°, β = 90.00°, γ = 114.34°
Atoms (fractional coordinates):
S1 0.673 0.347 0.842
S2 0.000 0.000 0.500
S3 0.334 0.669 0.668
S4 0.327 0.653 0.158
S5 0.666 0.331 0.332
Dy1 0.167 0.335 0.818
Dy2 0.833 0.665 0.182
Dy3 0.500 0.000 0.000
Dy4 0.829 0.658 0.651
Dy5 0.171 0.342 0.349
Sb1 0.000 0.000 0.000

No. 3
DFT (PBE) results for a geometry-optimized Dy2SbS structure.

Values from the calculation:
The distance to the lowest polymorph of the same formula comes out at 58 meV per atom. Its density of states at the Fermi level is 2.610 states/eV per cell. The value obtained for the total magnetic moment is 0.00 μB/f.u.

a = 4.080 Å, b = 4.080 Å, c = 7.460 Å
α = 74.13°, β = 74.13°, γ = 60.00°
Atoms (fractional coordinates):
Sb1 0.499 0.499 0.503
Dy1 0.073 0.073 0.782
Dy2 0.259 0.259 0.223
S1 0.669 0.669 0.992

no.,calculated density (g/cm3),E_form (uncorrected) (eV per atom),electronic total energy (hartree per atom)
1,7.86,-1.38,-0.2112
2,6.66,-1.83,-0.2267
3,7.79,-1.46,-0.2139